## ErTm5Sc (PBE-GGA)

Data for a relaxed ErTm5Sc crystal.

extended XYZ file:
```
14
Lattice="8.957 0.000 0.000 0.000 3.541 0.000 -2.483 0.000 13.180" Properties=species:S:1:pos:R:3 pbc="T T T"
Er 0.757 0.885 1.930
Er 5.717 2.655 11.250
Tm -0.829 2.655 4.778
Tm -0.493 0.885 11.775
Tm 1.618 0.885 6.689
Tm 1.252 2.655 9.559
Tm 3.582 2.655 1.101
Tm 2.892 0.885 12.079
Tm 5.222 0.885 3.621
Tm 4.856 2.655 6.491
Tm 6.967 2.655 1.405
Tm 7.303 0.885 8.402
Sc 2.453 2.655 4.092
Sc 4.021 0.885 9.087
```

## Properties
Spin magnetization ... 0.86 μB per cell
Space group ... P2_1/m
Density ... 8.4 g/cm³
DFT total energy ... -32.793 eV/f.u.
Energy of formation from the pure elements ... 0.066 eV/atom